No. 1
Below is a relaxed Sr3Cu9Rh2 crystal, with properties calculated at the PBE level.

Cell and atoms, written as POSCAR:
```
Sr3Cu9Rh2
1.0
-2.1086 4.9728 6.2714
2.1086 -4.9728 6.2714
2.1086 4.9728 -6.2714
Sr Cu Rh
3 9 2
Direct
0.0000 0.0000 0.0000
0.3083 0.3083 0.0000
0.6917 0.6917 0.0000
0.0072 0.3062 0.7010
0.1703 0.8910 0.2793
0.3883 0.1090 0.2793
0.3949 0.6938 0.7010
0.5000 0.0000 0.5000
0.6051 0.3062 0.2990
0.6117 0.8910 0.7207
0.8297 0.1090 0.7207
0.9928 0.6938 0.2990
0.2947 0.5000 0.7947
0.7053 0.5000 0.2053
```

The value obtained for the formation energy is -63 meV/atom.

No. 2
Below is a relaxed SrCu4Rh2 crystal, with properties calculated at the PBE level.

Cell and atoms, written as POSCAR:
```
SrCu4Rh2
1.0
4.1537 -3.2590 0.0000
4.1537 3.2590 0.0000
-3.2141 0.0000 4.0628
Sr Cu Rh
1 4 2
Direct
0.0000 0.0000 0.0000
0.9999 0.3850 0.6925
0.0001 0.6150 0.3075
0.3850 0.9999 0.6925
0.6150 0.0001 0.3075
0.5001 0.5001 0.2500
0.4999 0.4999 0.7500
```

The value obtained for the formation energy is -50 meV/atom.

No. 3
Below is a relaxed SrCuRh2 crystal, with properties calculated at the PBE level.

Cell and atoms, written as POSCAR:
```
SrCuRh2
1.0
2.9054 -4.0362 0.0000
2.9054 4.0362 0.0000
0.0000 0.0000 3.0098
Sr Cu Rh
1 1 2
Direct
0.0000 0.0000 0.0000
0.5000 0.5000 0.0000
0.0000 0.5000 0.5000
0.5000 0.0000 0.5000
```

The value obtained for the formation energy is 316 meV/atom. The offset from the most stable computed form is 453 meV/atom.

No. 4
Below is a relaxed SrCu2Rh2 crystal, with properties calculated at the PBE level.

Cell and atoms, written as POSCAR:
```
SrCu2Rh2
1.0
-2.1922 2.1922 4.8645
2.1922 -2.1922 4.8645
2.1922 2.1922 -4.8645
Sr Cu Rh
1 2 2
Direct
0.0000 0.0000 0.0000
0.2500 0.7500 0.5000
0.7500 0.2500 0.5000
0.3742 0.3742 0.0000
0.6258 0.6258 0.0000
```

The value obtained for the formation energy is 26 meV/atom. The offset from the most stable computed form is 0 meV/atom.

No. 5
Below is a relaxed SrCu2Rh crystal, with properties calculated at the PBE level.

Cell and atoms, written as POSCAR:
```
SrCu2Rh
1.0
3.2815 0.0000 0.0000
0.0000 4.3660 0.0000
-1.3450 0.0000 5.4296
Sr Cu Rh
1 2 1
Direct
0.0000 0.0000 0.0000
0.3022 0.5000 0.6694
0.6978 0.5000 0.3306
0.5000 0.0000 0.5000
```

The value obtained for the formation energy is 169 meV/atom. The offset from the most stable computed form is 309 meV/atom.

No. 6
Below is a relaxed Sr8Cu2Rh crystal, with properties calculated at the PBE level.

Cell and atoms, written as POSCAR:
```
Sr8Cu2Rh
1.0
7.1127 -4.0505 0.0000
7.1127 4.0505 0.0000
-0.0450 0.0000 8.1452
Sr Cu Rh
8 2 1
Direct
0.1979 0.1979 0.8861
0.2058 0.7144 0.7500
0.2856 0.7942 0.2500
0.2881 0.2881 0.3966
0.7119 0.7119 0.6034
0.7144 0.2058 0.7500
0.7942 0.2856 0.2500
0.8021 0.8021 0.1139
0.0841 0.0841 0.5449
0.9159 0.9159 0.4551
0.0000 0.0000 0.0000
```

The value obtained for the formation energy is -70 meV/atom.

No. 7
Below is a relaxed SrCu3Rh crystal, with properties calculated at the PBE level.

Cell and atoms, written as POSCAR:
```
SrCu3Rh
1.0
8.4303 0.0000 0.0000
0.0000 4.1900 0.0000
0.0000 0.0000 10.3730
Sr Cu Rh
4 12 4
Direct
0.1921 0.2500 0.0344
0.3079 0.7500 0.5344
0.6921 0.2500 0.4656
0.8079 0.7500 0.9656
0.1027 0.7500 0.7651
0.1350 0.2500 0.3639
0.2229 0.7500 0.2552
0.2771 0.2500 0.7552
0.3650 0.7500 0.8639
0.3973 0.2500 0.2651
0.6027 0.7500 0.7349
0.6350 0.2500 0.1361
0.7229 0.7500 0.2448
0.7771 0.2500 0.7448
0.8650 0.7500 0.6361
0.8973 0.2500 0.2349
0.0366 0.2500 0.6030
0.4634 0.7500 0.1030
0.5366 0.2500 0.8970
0.9634 0.7500 0.3970
```

The value obtained for the formation energy is 3 meV/atom. The offset from the most stable computed form is 38 meV/atom.

No. 8
Below is a relaxed SrCu6Rh2 crystal, with properties calculated at the PBE level.

Cell and atoms, written as POSCAR:
```
SrCu6Rh2
1.0
-2.1213 3.2545 5.4109
2.1213 -3.2545 5.4109
2.1213 3.2545 -5.4109
Sr Cu Rh
1 6 2
Direct
0.0000 0.0000 0.0000
0.0911 0.2825 0.8085
0.3268 0.5000 0.8268
0.4740 0.2825 0.1915
0.5260 0.7175 0.8085
0.6732 0.5000 0.1732
0.9089 0.7175 0.1915
0.3757 0.8757 0.5000
0.6243 0.1243 0.5000
```

The value obtained for the formation energy is 126 meV/atom.

No. 9
Below is a relaxed Sr3CuRh crystal, with properties calculated at the PBE level.

Cell and atoms, written as POSCAR:
```
Sr3CuRh
1.0
7.1933 0.0000 0.0000
0.0000 4.2707 0.0000
-1.8197 0.0000 10.4850
Sr Cu Rh
6 2 2
Direct
0.2142 0.2500 0.0716
0.2444 0.2500 0.4384
0.2450 0.7500 0.7598
0.7550 0.2500 0.2402
0.7556 0.7500 0.5616
0.7858 0.7500 0.9284
0.4241 0.7500 0.2772
0.5759 0.2500 0.7228
0.0673 0.7500 0.2348
0.9327 0.2500 0.7652
```

The value obtained for the formation energy is -160 meV/atom. The offset from the most stable computed form is 0 meV/atom.

No. 10
Below is a relaxed Sr3CuRh crystal, with properties calculated at the PBE level.

Cell and atoms, written as POSCAR:
```
Sr3CuRh
1.0
5.7282 0.0000 0.0000
0.0000 5.7282 0.0000
0.0000 0.0000 5.7282
Sr Cu Rh
3 1 1
Direct
0.0000 0.0000 0.5000
0.0000 0.5000 0.0000
0.5000 0.0000 0.0000
0.5000 0.5000 0.5000
0.0000 0.0000 0.0000
```

The value obtained for the formation energy is 86 meV/atom. The offset from the most stable computed form is 246 meV/atom.

No. 11
Below is a relaxed SrCu2Rh crystal, with properties calculated at the PBE level.

Cell and atoms, written as POSCAR:
```
SrCu2Rh
1.0
-2.3091 2.3091 8.6704
2.3091 -2.3091 8.6704
2.3091 2.3091 -8.6704
Sr Cu Rh
2 4 2
Direct
0.0000 0.0000 0.0000
0.7500 0.2500 0.5000
0.3732 0.1250 0.7482
0.3750 0.6268 0.7518
0.3768 0.6250 0.2518
0.8750 0.6232 0.2482
0.2500 0.7500 0.5000
0.5000 0.5000 0.0000
```

The value obtained for the formation energy is 130 meV/atom. The offset from the most stable computed form is 270 meV/atom.

No. 12
Below is a relaxed SrCu2Rh crystal, with properties calculated at the PBE level.

Cell and atoms, written as POSCAR:
```
SrCu2Rh
1.0
3.7345 -2.1556 0.0000
3.7345 2.1556 0.0000
-2.5001 0.0000 5.1810
Sr Cu Rh
1 2 1
Direct
0.0000 0.0000 0.0000
0.1876 0.1876 0.5627
0.4962 0.4962 0.4888
0.8105 0.8105 0.4319
```

The value obtained for the formation energy is -138 meV/atom. The offset from the most stable computed form is 2 meV/atom.